# 1
12
Lattice="3.0288 -5.2446 0.0000 3.0288 5.2446 0.0000 -2.0174 0.0000 5.7586" Properties=species:S:1:pos:R:3 comment="Sm3Np2UN6, optimized geometry, DFT GGA-PBE" formation_energy_uncorrected_ev_per_atom=-1.358 sg="No. 12" total_magnetization_mub_per_cell=7.33 pbc="T T T"
Sm 0.0000 0.0000 0.0000
Sm 3.0288 1.7550 0.0000
Sm 3.0288 -1.7550 0.0000
Np 2.0201 3.4984 2.8793
Np 2.0201 -3.4984 2.8793
U 2.0201 0.0000 2.8793
N 1.0331 1.7066 1.6005
N 0.0485 0.0000 4.1605
N 1.0331 -1.7066 1.6005
N 3.0071 1.7066 4.1582
N 3.9917 0.0000 1.5981
N 3.0071 -1.7066 4.1582

# 2
18
Lattice="1.7291 -6.8456 0.0000 1.7291 6.8456 0.0000 0.0000 0.0000 10.3300" Properties=species:S:1:pos:R:3 comment="Sm2NpVN5, optimized geometry, DFT GGA-PBE" formation_energy_uncorrected_ev_per_atom=-1.230 sg="No. 36" total_magnetization_mub_per_cell=5.94 pbc="T T T"
Sm 1.7291 5.3906 5.1650
Sm 1.7291 4.9409 1.1918
Sm 1.7291 -4.9409 6.3568
Sm 1.7291 -5.3906 0.0000
Np 1.7291 4.0064 8.5038
Np 1.7291 -4.0064 3.3388
V 1.7291 0.1841 2.8132
V 1.7291 -0.1841 7.9782
N 1.7291 6.2735 8.7421
N 1.7291 2.9626 4.7775
N 1.7291 2.5267 2.0197
N 1.7291 1.7355 8.4424
N 1.7291 0.1156 6.2142
N 1.7291 -0.1156 1.0492
N 1.7291 -1.7355 3.2774
N 1.7291 -2.5267 7.1847
N 1.7291 -2.9626 9.9425
N 1.7291 -6.2735 3.5771

# 3
8
Lattice="6.0509 0.0000 0.0000 0.0000 3.5164 0.0000 -1.9707 0.0000 5.7534" Properties=species:S:1:pos:R:3 comment="Sm2YNpN4, optimized geometry, DFT GGA-PBE" formation_energy_uncorrected_ev_per_atom=-1.458 sg="No. 10" total_magnetization_mub_per_cell=2.86 pbc="T T T"
Sm 0.0000 0.0000 0.0000
Sm 3.0255 1.7582 0.0000
Y -0.9853 1.7582 2.8767
Np 2.0401 0.0000 2.8767
N 0.1405 0.0000 4.1925
N 1.0632 1.7582 1.5530
N 3.0170 1.7582 4.2004
N 3.9397 0.0000 1.5609

# 4
12
Lattice="3.0365 -5.2606 0.0000 3.0365 5.2606 0.0000 -2.0245 0.0000 5.7517" Properties=species:S:1:pos:R:3 comment="Sm3Y2NpN6, optimized geometry, DFT GGA-PBE" formation_energy_uncorrected_ev_per_atom=-1.514 sg="No. 12" total_magnetization_mub_per_cell=2.49 pbc="T T T"
Sm 0.0000 0.0000 0.0000
Sm 3.0365 1.7683 0.0000
Sm 3.0365 -1.7683 0.0000
Y 2.0242 3.5089 2.8759
Y 2.0242 -3.5089 2.8759
Np 2.0242 0.0000 2.8759
N 1.0666 1.6591 1.5476
N 0.1116 0.0000 4.2074
N 1.0666 -1.6591 1.5476
N 2.9818 1.6591 4.2041
N 3.9368 0.0000 1.5443
N 2.9818 -1.6591 4.2041

# 5
12
Lattice="3.0338 -5.2559 0.0000 3.0338 5.2559 0.0000 -2.0186 0.0000 5.7004" Properties=species:S:1:pos:R:3 comment="Sm2Y3NpN6, optimized geometry, DFT GGA-PBE" formation_energy_uncorrected_ev_per_atom=-1.533 sg="No. 12" total_magnetization_mub_per_cell=2.67 pbc="T T T"
Sm 3.0338 3.5033 0.0000
Sm 3.0338 -3.5033 0.0000
Y -1.0093 0.0000 2.8502
Y 2.0245 1.7574 2.8502
Y 2.0245 -1.7574 2.8502
Np 3.0338 0.0000 0.0000
N 0.0622 1.6474 4.2915
N 1.1514 0.0000 1.3807
N 0.0622 -1.6474 4.2915
N 3.9868 1.6474 1.4089
N 2.8976 0.0000 4.3197
N 3.9868 -1.6474 1.4089

# 6
8
Lattice="6.0281 0.0000 0.0000 0.0000 3.4937 0.0000 -1.9698 0.0000 5.7121" Properties=species:S:1:pos:R:3 comment="SmY2NpN4, optimized geometry, DFT GGA-PBE" formation_energy_uncorrected_ev_per_atom=-1.488 sg="No. 10" total_magnetization_mub_per_cell=3.06 pbc="T T T"
Sm 0.0000 0.0000 0.0000
Y 2.0292 0.0000 2.8560
Y 3.0140 1.7468 0.0000
Np -0.9849 1.7468 2.8560
N 0.9368 1.7468 1.5297
N 0.0202 0.0000 4.2192
N 4.0381 0.0000 1.4929
N 3.1215 1.7468 4.1824